## ScZn2Cu (PBE)

Data for an optimized crystal structure of ScZn2Cu.

Results
Fermi-level density of states   9.587 states/eV per cell
Formation energy   -288 meV/atom

Geometry as CIF:
```
data_ScZn2Cu
_symmetry_space_group_name_H-M 'F -4 3 m'
_symmetry_Int_Tables_number 216
_symmetry_space_group_name_Hall 'F -4 2 3'
_cell_length_a 6.282
_cell_length_b 6.282
_cell_length_c 6.282
_cell_angle_alpha 90.00
_cell_angle_beta 90.00
_cell_angle_gamma 90.00
loop_
_atom_site_label
_atom_site_type_symbol
_atom_site_fract_x
_atom_site_fract_y
_atom_site_fract_z
Sc1 Sc 0.000 0.000 0.000
Zn1 Zn 0.000 0.000 0.500
Zn2 Zn 0.250 0.250 0.250
Cu1 Cu 0.250 0.250 0.750
```

***

## FeRu2Au (PBE)

Data for an optimized crystal structure of FeRu2Au.

Results
ΔE to the lowest computed polymorph   0.35 eV per formula unit
Fermi-level density of states   10.236 states/eV per cell
Formation energy   289 meV/atom

Geometry as CIF:
```
data_FeRu2Au
_symmetry_space_group_name_H-M 'C 1 2/m 1'
_symmetry_Int_Tables_number 12
_symmetry_space_group_name_Hall '-C 2y'
_cell_length_a 9.110
_cell_length_b 2.747
_cell_length_c 4.740
_cell_angle_alpha 90.00
_cell_angle_beta 102.13
_cell_angle_gamma 90.00
loop_
_atom_site_label
_atom_site_type_symbol
_atom_site_fract_x
_atom_site_fract_y
_atom_site_fract_z
Fe1 Fe 0.000 0.000 0.000
Ru1 Ru 0.235 0.500 0.225
Au1 Au 0.000 0.500 0.500
```

***

## CeSm2OsC2 (PBE)

Data for an optimized crystal structure of CeSm2OsC2.

Results
Fermi-level density of states   16.930 states/eV per cell
Formation energy   -76 meV/atom

Geometry as CIF:
```
data_CeSm2OsC2
_symmetry_space_group_name_H-M 'P n n m'
_symmetry_Int_Tables_number 58
_symmetry_space_group_name_Hall '-P 2 2n'
_cell_length_a 5.758
_cell_length_b 11.200
_cell_length_c 3.795
_cell_angle_alpha 90.00
_cell_angle_beta 90.00
_cell_angle_gamma 90.00
loop_
_atom_site_label
_atom_site_type_symbol
_atom_site_fract_x
_atom_site_fract_y
_atom_site_fract_z
Ce1 Ce 0.000 0.000 0.000
Sm1 Sm 0.036 0.292 0.500
Os1 Os 0.000 0.500 0.000
C1 C 0.230 0.891 0.500
```

***

## ZrCoN (PBE)

Data for an optimized crystal structure of ZrCoN.

Results
Raw formation energy   -0.8352 eV per atom
Fermi-level density of states   13.434 states/eV per cell

Geometry as CIF:
```
data_ZrCoN
_symmetry_space_group_name_H-M 'R -3 m'
_symmetry_Int_Tables_number 166
_symmetry_space_group_name_Hall '-R 3 2"'
_cell_length_a 3.8031
_cell_length_b 3.8031
_cell_length_c 19.4675
_cell_angle_alpha 90.00
_cell_angle_beta 90.00
_cell_angle_gamma 120.00
loop_
_atom_site_label
_atom_site_type_symbol
_atom_site_fract_x
_atom_site_fract_y
_atom_site_fract_z
Zr1 Zr 0.0000 0.0000 0.1031
Co1 Co 0.0000 0.0000 0.3166
N1 N 0.0000 0.0000 0.2170
```

***

## PtAu2I6 (PBE)

Data for an optimized crystal structure of PtAu2I6.

Results
ΔE to the lowest computed polymorph   0.00 eV per formula unit
Raw formation energy   -0.0868 eV per atom

Geometry as CIF:
```
data_PtAu2I6
_symmetry_space_group_name_H-M 'C 1 2/c 1'
_symmetry_Int_Tables_number 15
_symmetry_space_group_name_Hall '-C 2yc'
_cell_length_a 21.281
_cell_length_b 8.787
_cell_length_c 7.122
_cell_angle_alpha 90.00
_cell_angle_beta 94.05
_cell_angle_gamma 90.00
loop_
_atom_site_label
_atom_site_type_symbol
_atom_site_fract_x
_atom_site_fract_y
_atom_site_fract_z
Pt1 Pt 0.000 0.112 0.250
Au1 Au 0.159 0.366 0.422
I1 I 0.071 0.110 0.577
I2 I 0.078 0.334 0.123
I3 I 0.226 0.371 0.748
```

***

## CoPBr2 (PBE)

Data for an optimized crystal structure of CoPBr2.

Results
ΔE to the lowest computed polymorph   5.51 eV per formula unit
Raw formation energy   1.0468 eV per atom
Fermi-level density of states   25.903 states/eV per cell

Geometry as CIF:
```
data_CoPBr2
_symmetry_space_group_name_H-M 'F -4 3 m'
_symmetry_Int_Tables_number 216
_symmetry_space_group_name_Hall 'F -4 2 3'
_cell_length_a 6.755
_cell_length_b 6.755
_cell_length_c 6.755
_cell_angle_alpha 90.00
_cell_angle_beta 90.00
_cell_angle_gamma 90.00
loop_
_atom_site_label
_atom_site_type_symbol
_atom_site_fract_x
_atom_site_fract_y
_atom_site_fract_z
Co1 Co 0.000 0.000 0.000
P1 P 0.250 0.250 0.750
Br1 Br 0.000 0.000 0.500
Br2 Br 0.250 0.250 0.250
```

***

What DFT total energy values result from the calculations? In sequence: -3.532 -7.284 -7.585 -8.828 -2.520 -2.919 eV per atom.